VASP calculation (PBE) on crystalline CrSiMo2 at its relaxed geometry.

```
data_CrSiMo2
_chemical_formula_sum 'Cr1 Si1 Mo2'
_symmetry_space_group_name_H-M 'P m m m'
_symmetry_Int_Tables_number 47
_symmetry_space_group_name_Hall '-P 2 2'
_cell_length_a 2.7984
_cell_length_b 3.9508
_cell_length_c 5.1006
_cell_angle_alpha 90.00
_cell_angle_beta 90.00
_cell_angle_gamma 90.00
loop_
_atom_site_label
_atom_site_fract_x
_atom_site_fract_y
_atom_site_fract_z
Cr1 0.0000 0.0000 0.0000
Si1 0.0000 0.0000 0.5000
Mo1 0.5000 0.5000 0.2504
```

Output
The value obtained for the final energy is -9.157 eV per atom. The raw formation energy is 0.020 eV per atom. The crystal system is orthorhombic. The total moment is 0.0 μB/cell.

VASP calculation (PBE) on crystalline Y2ReP at its relaxed geometry.

```
data_Y2ReP
_chemical_formula_sum 'Y6 Re3 P3'
_symmetry_space_group_name_H-M 'R -3 m'
_symmetry_Int_Tables_number 166
_symmetry_space_group_name_Hall '-R 3 2"'
_cell_length_a 3.6694
_cell_length_b 3.6694
_cell_length_c 23.0826
_cell_angle_alpha 90.00
_cell_angle_beta 90.00
_cell_angle_gamma 120.00
loop_
_atom_site_label
_atom_site_fract_x
_atom_site_fract_y
_atom_site_fract_z
Y1 0.0000 0.0000 0.2434
Re1 0.0000 0.0000 0.0000
P1 0.0000 0.0000 0.5000
```

Output
The value obtained for the final energy is -7.883 eV per atom. The crystal system is trigonal. The total moment is 0.0 μB/cell. For the formation energy, the calculation gives -0.75 eV per formula unit.

Copy entry 2 word for word.
VASP calculation (PBE) on crystalline Y2ReP at its relaxed geometry.

```
data_Y2ReP
_chemical_formula_sum 'Y6 Re3 P3'
_symmetry_space_group_name_H-M 'R -3 m'
_symmetry_Int_Tables_number 166
_symmetry_space_group_name_Hall '-R 3 2"'
_cell_length_a 3.6694
_cell_length_b 3.6694
_cell_length_c 23.0826
_cell_angle_alpha 90.00
_cell_angle_beta 90.00
_cell_angle_gamma 120.00
loop_
_atom_site_label
_atom_site_fract_x
_atom_site_fract_y
_atom_site_fract_z
Y1 0.0000 0.0000 0.2434
Re1 0.0000 0.0000 0.0000
P1 0.0000 0.0000 0.5000
```

Output
The value obtained for the final energy is -7.883 eV per atom. The crystal system is trigonal. The total moment is 0.0 μB/cell. For the formation energy, the calculation gives -0.75 eV per formula unit.